VASP calculation (PBE with a Hubbard U) on TlCrAuF2 after structural relaxation.

Results
DOS(E_F) ... 0.77 states/eV/f.u.
Calculated volume ... 99 Å³/cell
Total energy ... -4.808 eV per atom

Cell lengths 4.0543, 4.0543, 6.0168 Å; angles 90.00, 90.00, 90.00 degrees
Last column: nearest neighbours and their distance in Å.
Space group P4/mmm (No. 123)
Unique sites:
Tl  0.0000  0.0000  0.0000 x1  4 Au 2.87
Cr  0.5000  0.5000  0.5000 x1  4 F 2.03
Au  0.5000  0.5000  0.0000 x1  4 Tl 2.87, 2 Cr 3.01
F  0.0000  0.5000  0.5000 x2  2 Cr 2.03